Entry 1:
DFT (GGA-PBE) results for YSbIr2 after structural relaxation.

As for the crystal system: cubic. The total energy is -7.078 eV/atom.

The space group is F-43m (No. 216) and the conventional cell measures 6.737, 6.737 and 6.737 Å, with angles of 90.00, 90.00 and 90.00 degrees. The inequivalent atoms are Y at (0.000, 0.000, 0.000), Sb at (0.250, 0.250, 0.750), Ir at (0.000, 0.000, 0.500) and Ir at (0.250, 0.250, 0.250).

Entry 2:
DFT (GGA-PBE) results for Zr2Sc after structural relaxation.

As for the crystal system: cubic. Its energy of formation is 3.1923 eV per atom.

The space group is Fd-3m (No. 227, origin choice 2) and the conventional cell measures 11.078, 11.078 and 11.078 Å, with angles of 90.00, 90.00 and 90.00 degrees. The inequivalent atoms are Zr at (0.000, 0.000, 0.000) and Sc at (0.125, 0.125, 0.125).

Entry 3:
DFT (GGA-PBE) results for NaAuCl3 after structural relaxation.

As for the crystal system: monoclinic. The total energy is -2.883 eV/atom.

The space group is C2/m (No. 12) and the conventional cell measures 11.100, 7.076 and 7.374 Å, with angles of 90.00, 115.04 and 90.00 degrees. The inequivalent atoms are Na at (0.218, 0.000, 0.195), Au at (0.000, 0.000, 0.500), Au at (0.000, 0.500, 0.000), Cl at (0.073, 0.264, 0.844) and Cl at (0.225, 0.000, 0.569).

Entry 4:
DFT (GGA-PBE) results for CdPdPt2O6 after structural relaxation.

As for the crystal system: orthorhombic. The total energy is -5.459 eV/atom.

The space group is Cmmm (No. 65) and the conventional cell measures 7.266, 10.250 and 3.184 Å, with angles of 90.00, 90.00 and 90.00 degrees. The inequivalent atoms are Cd at (0.000, 0.000, 0.000), Pd at (0.000, 0.500, 0.000), Pt at (0.250, 0.250, 0.500), O at (0.000, 0.162, 0.500) and O at (0.208, 0.371, 0.000).

Number 4 is which compound?
CdPdPt2O6